1.
Below is a relaxed CaDyAlS4 crystal, with properties calculated at the PBE-GGA level.

a b c (Å): 7.748 7.748 7.748
angles (deg): 120.94 119.15 89.93
Atoms (fractional coordinates):
1 Ca 0.500 0.000 0.000
2 Ca 0.500 0.500 0.500
3 Dy 0.000 0.000 0.000
4 Dy 0.500 0.000 0.500
5 Al 0.117 0.367 0.750
6 Al 0.883 0.633 0.250
7 S 0.239 0.249 0.990
8 S 0.241 0.751 0.490
9 S 0.244 0.247 0.503
10 S 0.244 0.741 0.997
11 S 0.756 0.259 0.003
12 S 0.756 0.753 0.497
13 S 0.759 0.249 0.510
14 S 0.761 0.751 0.010

Summary:
Its formation energy from raw total energies is -1.6654 eV/atom. As for the symmetry: Imma.

=====

2.
Below is a relaxed CaSmDyAl crystal, with properties calculated at the PBE-GGA level.

a b c (Å): 5.427 5.427 5.427
angles (deg): 60.00 60.00 60.00
Atoms (fractional coordinates):
1 Ca 0.000 0.000 0.000
2 Sm 0.750 0.750 0.750
3 Dy 0.250 0.250 0.250
4 Al 0.500 0.500 0.500

Summary:
Its energy of formation from the pure elements is -0.060 eV per atom. As for the symmetry: F-43m. For the density of states at the Fermi level, the calculation gives 3.0 states/eV/f.u.

=====

3.
Below is a relaxed CaDyTmAl crystal, with properties calculated at the PBE-GGA level.

a b c (Å): 5.356 5.356 5.356
angles (deg): 60.00 60.00 60.00
Atoms (fractional coordinates):
1 Ca 0.000 0.000 0.000
2 Dy 0.250 0.250 0.250
3 Tm 0.750 0.750 0.750
4 Al 0.500 0.500 0.500

Summary:
Its energy of formation from the pure elements is -0.035 eV per atom. As for the symmetry: F-43m. For the density of states at the Fermi level, the calculation gives 2.9 states/eV/f.u.

=====

4.
Below is a relaxed CaDyYAl crystal, with properties calculated at the PBE-GGA level.

a b c (Å): 5.392 5.392 5.392
angles (deg): 60.00 60.00 60.00
Atoms (fractional coordinates):
1 Ca 0.000 0.000 0.000
2 Dy 0.750 0.750 0.750
3 Y 0.250 0.250 0.250
4 Al 0.500 0.500 0.500

Summary:
Its energy of formation from the pure elements is -0.061 eV per atom. As for the symmetry: F-43m. For the density of states at the Fermi level, the calculation gives 2.9 states/eV/f.u.

=====

5.
Below is a relaxed CaDyAl2Zn2 crystal, with properties calculated at the PBE-GGA level.

a b c (Å): 4.547 4.547 7.267
angles (deg): 90.00 90.00 120.00
Atoms (fractional coordinates):
1 Ca 0.000 0.000 0.000
2 Dy 0.000 0.000 0.500
3 Al 0.333 0.667 0.719
4 Al 0.667 0.333 0.281
5 Zn 0.333 0.667 0.282
6 Zn 0.667 0.333 0.718

Summary:
Its energy of formation from the pure elements is -0.379 eV per atom. As for the symmetry: P-3m1. For the density of states at the Fermi level, the calculation gives 3.6 states/eV/f.u.

=====

6.
Below is a relaxed CaDy2Al2Zn2 crystal, with properties calculated at the PBE-GGA level.

a b c (Å): 9.635 9.635 9.635
angles (deg): 27.32 27.32 27.32
Atoms (fractional coordinates):
1 Ca 0.000 0.000 0.000
2 Dy 0.129 0.129 0.129
3 Dy 0.871 0.871 0.871
4 Al 0.257 0.257 0.257
5 Al 0.743 0.743 0.743
6 Zn 0.408 0.408 0.408
7 Zn 0.592 0.592 0.592

Summary:
Its energy of formation from the pure elements is -0.274 eV per atom. As for the symmetry: R-3m. For the density of states at the Fermi level, the calculation gives 2.8 states/eV/f.u.